(1)
# Ac5Ga3Ni3

A geometry-optimized Ac5Ga3Ni3 structure (PBE, Alexandria).

```
Ac5Ga3Ni3
1.0
9.2011 0.0000 0.0000
-4.6006 7.9684 0.0000
0.0000 0.0000 4.5554
Ac Ga Ni
5 3 3
Cartesian
-1.0978 1.9014 0.0000 Ac
2.1956 0.0000 0.0000 Ac
0.0000 5.3123 0.0000 Ac
4.6006 2.6561 0.0000 Ac
3.5028 6.0670 0.0000 Ac
-2.9028 5.0279 2.2777 Ga
1.6977 2.9405 2.2777 Ga
5.8057 0.0000 2.2777 Ga
-2.8768 4.9827 0.0000 Ni
1.7238 2.9857 0.0000 Ni
5.7535 0.0000 0.0000 Ni
```

Summary:
final energy = -0.1639 Ha/atom
DOS(E_F) = 13.2 states/eV/cell
SG = P-62m, No. 189

=====

(2)
# LiPm4Y3Se8

A geometry-optimized LiPm4Y3Se8 structure (PBE, Alexandria).

```
LiPm4Y3Se8
1.0
4.1172 2.3771 6.7783
-4.1172 2.3771 6.7783
0.0000 -4.7542 6.7783
Li Pm Y Se
1 4 3 8
Cartesian
0.0000 0.0000 0.0000 Li
-4.1172 0.0000 10.1674 Pm
-2.0586 1.1885 3.3891 Pm
2.0586 1.1885 3.3891 Pm
0.0000 0.0000 10.1674 Pm
-2.0586 -1.1885 6.7783 Y
-2.0586 1.1885 13.5565 Y
0.0000 2.3771 6.7782 Y
0.0000 -2.4254 8.3723 Se
-2.1004 1.2127 8.3723 Se
-2.1004 -1.2127 11.9625 Se
0.0000 0.0000 5.1508 Se
0.0000 0.0000 15.1839 Se
2.1004 1.2127 8.3723 Se
2.1004 -1.2127 11.9625 Se
0.0000 2.4253 11.9625 Se
```

Summary:
formation energy (no corrections) = -1.785 eV per atom
DOS(E_F) = 8.0 states/eV/cell
SG = R-3m, No. 166

=====

(3)
# V4CrMo2

A geometry-optimized V4CrMo2 structure (PBE, Alexandria).

```
V4CrMo2
1.0
5.1798 0.0000 0.0000
-1.9791 5.5034 0.0000
-1.4736 -0.6290 7.1784
V Cr Mo
8 2 4
Cartesian
-0.0027 1.0701 1.6741 V
-0.4314 0.5080 4.6093 V
-0.7023 3.8335 1.1081 V
-0.8988 3.6919 5.5459 V
2.6258 1.1825 1.6326 V
2.4293 1.0409 6.0703 V
2.1584 4.3664 2.5692 V
1.7298 3.8042 5.5043 V
-0.2048 -0.2472 6.8806 Cr
1.9318 5.1215 0.2979 Cr
-1.7264 2.4372 3.5892 Mo
1.8531 -0.3145 3.5892 Mo
1.6003 2.7517 0.0000 Mo
0.8635 2.4372 3.5892 Mo
```

Summary:
DOS(E_F) = 16.4 states/eV/cell
energy relative to the lowest polymorph listed for this composition = 130 kJ/mol of formula units
SG = P-1, No. 2

=====

(4)
# KSn3Sb2

A geometry-optimized KSn3Sb2 structure (PBE, Alexandria).

```
KSn3Sb2
1.0
8.7463 -2.2165 0.0000
8.7463 2.2165 0.0000
-3.4379 0.0000 10.4660
K Sn Sb
2 6 4
Cartesian
2.0535 0.0000 0.3903 K
12.0011 0.0000 10.0757 K
-0.2012 0.0000 4.2795 Sn
3.1671 0.0000 6.2269 Sn
5.6454 0.0000 3.6246 Sn
8.4092 0.0000 6.8414 Sn
10.8875 0.0000 4.2391 Sn
14.2558 0.0000 6.1865 Sn
1.0670 0.0000 8.2330 Sb
5.7613 0.0000 8.2533 Sb
8.2933 0.0000 2.2127 Sb
12.9876 0.0000 2.2330 Sb
```

Summary:
formation energy (no corrections) = -0.144 eV per atom
DOS(E_F) = 3.3 states/eV/cell
SG = C2/m, No. 12

=====

(5)
# Zn2SnGeIr

A geometry-optimized Zn2SnGeIr structure (PBE, Alexandria).

```
Zn2SnGeIr
1.0
4.8378 0.0000 0.0000
0.0000 4.8378 0.0000
0.0000 0.0000 5.0329
Zn Sn Ge Ir
2 1 1 1
Cartesian
0.0000 2.4189 0.0000 Zn
2.4189 0.0000 0.0000 Zn
0.0000 0.0000 2.5164 Sn
2.4189 2.4189 2.5164 Ge
0.0000 0.0000 0.0000 Ir
```

Summary:
final energy = -0.1357 Ha/atom
DOS(E_F) = 3.1 states/eV/cell
SG = P4/mmm, No. 123

=====

(6)
# La2HfScAu

A geometry-optimized La2HfScAu structure (PBE, Alexandria).

```
La2HfScAu
1.0
5.6267 0.0000 0.0000
0.0000 5.6267 0.0000
0.0000 0.0000 4.9808
La Hf Sc Au
2 1 1 1
Cartesian
0.0000 2.8133 0.0000 La
2.8133 0.0000 0.0000 La
0.0000 0.0000 2.4904 Hf
0.0000 0.0000 0.0000 Sc
2.8133 2.8133 2.4904 Au
```

Summary:
final energy = -0.1894 Ha/atom
DOS(E_F) = 7.2 states/eV/cell
SG = P4/mmm, No. 123